## Ba2PmThSe6 (GGA-PBE)

Data for a geometry-optimized Ba2PmThSe6 structure.

CIF file:
```
data_Ba2PmThSe6
_cell_length_a 7.6117
_cell_length_b 8.1235
_cell_length_c 13.2467
_cell_angle_alpha 90.00
_cell_angle_beta 123.91
_cell_angle_gamma 90.00
_symmetry_space_group_name_H-M 'P 1 21/c 1'
_symmetry_Int_Tables_number 14
loop_
_symmetry_equiv_pos_as_xyz
'x,y,z'
'-x,-y,-z'
'-x,y+1/2,-z+1/2'
'x,-y+1/2,z+1/2'
loop_
_atom_site_label
_atom_site_type_symbol
_atom_site_fract_x
_atom_site_fract_y
_atom_site_fract_z
_atom_site_occupancy
Ba1 Ba 0.2183 0.0790 0.2472 1
Pm1 Pm 0.0000 0.0000 0.5000 1
Th1 Th 0.5000 0.0000 0.0000 1
Se1 Se 0.1401 0.1973 0.9452 1
Se2 Se 0.2484 0.7028 0.9413 1
Se3 Se 0.3603 0.0317 0.7499 1
```

Computed properties:
DOS(E_F)	29.5	states/eV/cell
M_tot	0.00	μB/cell
uncorrected energy	-5.436	eV per atom
V	679.77	Å³/cell